# 1
# ZnCo3 (meta-GGA SCAN, PBEsol geometry)
data_ZnCo3
_cell_length_a 4.0652
_cell_length_b 4.9874
_cell_length_c 4.3083
_cell_angle_alpha 90.00
_cell_angle_beta 90.00
_cell_angle_gamma 90.00
_space_group_name_H-M_alt 'P m m n'
_space_group_IT_number 59
loop_
_space_group_symop_operation_xyz
'x,y,z'
'-x,-y,-z'
'-x+1/2,-y+1/2,z'
'x+1/2,y+1/2,-z'
'x+1/2,-y,-z'
'-x+1/2,y,z'
'-x,y+1/2,-z'
'x,-y+1/2,z'
loop_
_atom_site_label
_atom_site_fract_x
_atom_site_fract_y
_atom_site_fract_z
Zn1 0.2500 0.2500 0.1616
Co1 0.2500 0.5039 0.6619
Co2 0.2500 0.7500 0.1717
# Calculated total energy ... -16.30 eV/atom
# Energy relative to the elements ... 0.0599 eV per atom

---

# 2
# ZnCo2 (meta-GGA SCAN, PBEsol geometry)
data_ZnCo2
_cell_length_a 9.1859
_cell_length_b 2.5393
_cell_length_c 5.9627
_cell_angle_alpha 90.00
_cell_angle_beta 106.45
_cell_angle_gamma 90.00
_space_group_name_H-M_alt 'C 1 2/m 1'
_space_group_IT_number 12
loop_
_space_group_symop_operation_xyz
'x,y,z'
'-x,-y,-z'
'-x,y,-z'
'x,-y,z'
'x+1/2,y+1/2,z'
'-x+1/2,-y+1/2,-z'
'-x+1/2,y+1/2,-z'
'x+1/2,-y+1/2,z'
loop_
_atom_site_label
_atom_site_fract_x
_atom_site_fract_y
_atom_site_fract_z
Zn1 0.1867 0.0000 0.1366
Co1 0.0263 0.5000 0.7850
Co2 0.1364 0.0000 0.5290
# Calculated total energy ... -15.98 eV/atom
# Energy relative to the elements ... 0.0615 eV per atom

---

# 3
# Zn3Co (meta-GGA SCAN, PBEsol geometry)
data_Zn3Co
_cell_length_a 5.1769
_cell_length_b 6.9220
_cell_length_c 2.7647
_cell_angle_alpha 90.00
_cell_angle_beta 90.00
_cell_angle_gamma 90.00
_space_group_name_H-M_alt 'C m m m'
_space_group_IT_number 65
_space_group_name_Hall '-C 2 2'
loop_
_atom_site_label
_atom_site_fract_x
_atom_site_fract_y
_atom_site_fract_z
Zn1 0.0000 0.0000 0.0000
Zn2 0.2500 0.2500 0.5000
Co1 0.0000 0.5000 0.0000
# Calculated total energy ... -14.44 eV/atom
# Energy relative to the elements ... 0.0272 eV per atom

---

# 4
# Zn11Co2 (meta-GGA SCAN, PBEsol geometry)
data_Zn11Co2
_cell_length_a 8.7799
_cell_length_b 8.7799
_cell_length_c 8.7799
_cell_angle_alpha 90.00
_cell_angle_beta 90.00
_cell_angle_gamma 90.00
_space_group_name_H-M_alt 'I -4 3 m'
_space_group_IT_number 217
_space_group_name_Hall 'I -4 2 3'
loop_
_atom_site_label
_atom_site_fract_x
_atom_site_fract_y
_atom_site_fract_z
Zn1 0.0000 0.0000 0.3542
Zn2 0.0469 0.3055 0.6945
Zn3 0.1038 0.1038 0.8962
Co1 0.1716 0.1716 0.1716
# Calculated total energy ... -14.16 eV/atom
# Energy relative to the elements ... -0.0664 eV per atom